First-principles (GGA-PBE) data for a relaxed InTeH crystal, as listed in Alexandria.

Results
Crystal system: triclinic
Total DFT energy (no corrections) (eV/atom): -3.308

Structure (CIF):
```
data_InTeH
_cell_length_a 4.369
_cell_length_b 4.371
_cell_length_c 11.223
_cell_angle_alpha 88.65
_cell_angle_beta 88.45
_cell_angle_gamma 60.09
_symmetry_space_group_name_H-M 'P -1'
_symmetry_Int_Tables_number 2
loop_
_symmetry_equiv_pos_as_xyz
'x,y,z'
'-x,-y,-z'
loop_
_atom_site_label
_atom_site_fract_x
_atom_site_fract_y
_atom_site_fract_z
In1 0.005 0.003 0.375
Te1 0.322 0.326 0.749
H1 0.039 0.052 0.986
```

---

First-principles (GGA-PBE) data for a relaxed InTeH crystal, as listed in Alexandria.

Results
Crystal system: triclinic
Total DFT energy (no corrections) (eV/atom): -3.249

Structure (CIF):
```
data_InTeH
_cell_length_a 4.322
_cell_length_b 4.325
_cell_length_c 9.423
_cell_angle_alpha 100.14
_cell_angle_beta 100.05
_cell_angle_gamma 90.06
_symmetry_space_group_name_H-M 'P 1'
_symmetry_Int_Tables_number 1
loop_
_symmetry_equiv_pos_as_xyz
'x,y,z'
loop_
_atom_site_label
_atom_site_fract_x
_atom_site_fract_y
_atom_site_fract_z
In1 0.000 0.000 0.000
In2 0.393 0.392 0.721
Te1 0.521 0.521 0.054
Te2 0.872 0.871 0.667
H1 0.132 0.142 0.374
H2 0.238 0.249 0.347
```

---

First-principles (GGA-PBE) data for a relaxed InTeH crystal, as listed in Alexandria.

Results
Crystal system: triclinic
Total DFT energy (no corrections) (eV/atom): -3.007

Structure (CIF):
```
data_InTeH
_cell_length_a 4.680
_cell_length_b 5.518
_cell_length_c 6.938
_cell_angle_alpha 67.65
_cell_angle_beta 89.95
_cell_angle_gamma 89.95
_symmetry_space_group_name_H-M 'P -1'
_symmetry_Int_Tables_number 2
loop_
_symmetry_equiv_pos_as_xyz
'x,y,z'
'-x,-y,-z'
loop_
_atom_site_label
_atom_site_fract_x
_atom_site_fract_y
_atom_site_fract_z
In1 0.250 0.039 0.152
Te1 0.251 0.628 0.760
H1 0.251 0.689 0.498
```

---

First-principles (GGA-PBE) data for a relaxed InTeH crystal, as listed in Alexandria.

Results
Crystal system: triclinic
Total DFT energy (no corrections) (eV/atom): -3.307

Structure (CIF):
```
data_InTeH
_cell_length_a 4.369
_cell_length_b 4.371
_cell_length_c 11.513
_cell_angle_alpha 80.09
_cell_angle_beta 79.90
_cell_angle_gamma 60.06
_symmetry_space_group_name_H-M 'P 1'
_symmetry_Int_Tables_number 1
loop_
_symmetry_equiv_pos_as_xyz
'x,y,z'
loop_
_atom_site_label
_atom_site_fract_x
_atom_site_fract_y
_atom_site_fract_z
In1 0.000 0.000 0.000
In2 0.080 0.077 0.751
Te1 0.452 0.447 0.628
Te2 0.628 0.630 0.123
H1 0.200 0.158 0.360
H2 0.249 0.252 0.396
```

---

First-principles (GGA-PBE) data for a relaxed In2TeH4 crystal, as listed in Alexandria.

Results
Crystal system: monoclinic
Total DFT energy (no corrections) (eV/atom): -2.974

Structure (CIF):
```
data_In2TeH4
_cell_length_a 12.812
_cell_length_b 6.456
_cell_length_c 6.856
_cell_angle_alpha 90.00
_cell_angle_beta 94.24
_cell_angle_gamma 90.00
_symmetry_space_group_name_H-M 'C 1 2/c 1'
_symmetry_Int_Tables_number 15
loop_
_symmetry_equiv_pos_as_xyz
'x,y,z'
'-x,-y,-z'
'-x,y,-z+1/2'
'x,-y,z+1/2'
'x+1/2,y+1/2,z'
'-x+1/2,-y+1/2,-z'
'-x+1/2,y+1/2,-z+1/2'
'x+1/2,-y+1/2,z+1/2'
loop_
_atom_site_label
_atom_site_fract_x
_atom_site_fract_y
_atom_site_fract_z
In1 0.131 0.105 0.123
Te1 0.000 0.225 0.750
H1 0.114 0.322 0.263
H2 0.234 0.001 0.503
```

---

First-principles (GGA-PBE) data for a relaxed InTe2H2 crystal, as listed in Alexandria.

Results
Crystal system: triclinic
Total DFT energy (no corrections) (eV/atom): -2.992

Structure (CIF):
```
data_InTe2H2
_cell_length_a 4.871
_cell_length_b 5.682
_cell_length_c 9.197
_cell_angle_alpha 95.02
_cell_angle_beta 96.92
_cell_angle_gamma 106.76
_symmetry_space_group_name_H-M 'P -1'
_symmetry_Int_Tables_number 2
loop_
_symmetry_equiv_pos_as_xyz
'x,y,z'
'-x,-y,-z'
loop_
_atom_site_label
_atom_site_fract_x
_atom_site_fract_y
_atom_site_fract_z
In1 0.125 0.281 0.010
Te1 0.150 0.204 0.691
Te2 0.345 0.309 0.313
H1 0.252 0.652 0.004
H2 0.379 0.022 0.709
```

---

First-principles (GGA-PBE) data for a relaxed InTe2HW crystal, as listed in Alexandria.

Results
Crystal system: tetragonal
Total DFT energy (no corrections) (eV/atom): -4.148

Structure (CIF):
```
data_InTe2HW
_cell_length_a 5.642
_cell_length_b 5.642
_cell_length_c 3.525
_cell_angle_alpha 90.00
_cell_angle_beta 90.00
_cell_angle_gamma 90.00
_symmetry_space_group_name_H-M 'P 4/m m m'
_symmetry_Int_Tables_number 123
_symmetry_space_group_name_Hall '-P 4 2'
loop_
_atom_site_label
_atom_site_fract_x
_atom_site_fract_y
_atom_site_fract_z
In1 0.000 0.000 0.000
Te1 0.000 0.500 0.000
H1 0.000 0.000 0.500
W1 0.500 0.500 0.500
```

---

First-principles (GGA-PBE) data for a relaxed Th2InH crystal, as listed in Alexandria.

Results
Crystal system: trigonal
Total DFT energy (no corrections) (eV/atom): -5.448
Polymorph energy (0 for the lowest one) (eV/f.u.): 0.00

Structure (CIF):
```
data_Th2InH
_cell_length_a 3.5230
_cell_length_b 3.5230
_cell_length_c 25.9946
_cell_angle_alpha 90.00
_cell_angle_beta 90.00
_cell_angle_gamma 120.00
_symmetry_space_group_name_H-M 'R -3 m'
_symmetry_Int_Tables_number 166
_symmetry_space_group_name_Hall '-R 3 2"'
loop_
_atom_site_label
_atom_site_fract_x
_atom_site_fract_y
_atom_site_fract_z
Th1 0.0000 0.0000 0.2280
In1 0.0000 0.0000 0.0000
H1 0.0000 0.0000 0.5000
```

---

First-principles (GGA-PBE) data for a relaxed Th3InH3 crystal, as listed in Alexandria.

Results
Crystal system: trigonal
Total DFT energy (no corrections) (eV/atom): -5.220
Polymorph energy (0 for the lowest one) (eV/f.u.): 0.62

Structure (CIF):
```
data_Th3InH3
_cell_length_a 6.2258
_cell_length_b 6.2258
_cell_length_c 26.1074
_cell_angle_alpha 90.00
_cell_angle_beta 90.00
_cell_angle_gamma 120.00
_symmetry_space_group_name_H-M 'R -3'
_symmetry_Int_Tables_number 148
_symmetry_space_group_name_Hall '-R 3'
loop_
_atom_site_label
_atom_site_fract_x
_atom_site_fract_y
_atom_site_fract_z
Th1 0.0008 0.3357 0.2671
In1 0.0000 0.0000 0.1670
H1 0.0001 0.3327 0.6895
```

---

First-principles (GGA-PBE) data for a relaxed Th3InH3 crystal, as listed in Alexandria.

Results
Crystal system: cubic
Total DFT energy (no corrections) (eV/atom): -5.309
Polymorph energy (0 for the lowest one) (eV/f.u.): 0.00

Structure (CIF):
```
data_Th3InH3
_cell_length_a 6.528
_cell_length_b 6.528
_cell_length_c 6.528
_cell_angle_alpha 90.00
_cell_angle_beta 90.00
_cell_angle_gamma 90.00
_symmetry_space_group_name_H-M 'P m -3 n'
_symmetry_Int_Tables_number 223
_symmetry_space_group_name_Hall '-P 4n 2 3'
loop_
_atom_site_label
_atom_site_fract_x
_atom_site_fract_y
_atom_site_fract_z
Th1 0.000 0.250 0.500
In1 0.000 0.000 0.000
H1 0.000 0.500 0.250
```

---

First-principles (GGA-PBE) data for a relaxed Th2InH crystal, as listed in Alexandria.

Results
Crystal system: trigonal
Total DFT energy (no corrections) (eV/atom): -5.417
Polymorph energy (0 for the lowest one) (eV/f.u.): 0.12

Structure (CIF):
```
data_Th2InH
_cell_length_a 3.4878
_cell_length_b 3.4878
_cell_length_c 26.4802
_cell_angle_alpha 90.00
_cell_angle_beta 90.00
_cell_angle_gamma 120.00
_symmetry_space_group_name_H-M 'R 3 m'
_symmetry_Int_Tables_number 160
_symmetry_space_group_name_Hall 'R 3 -2"'
loop_
_atom_site_label
_atom_site_fract_x
_atom_site_fract_y
_atom_site_fract_z
Th1 0.0000 0.0000 0.0000
Th2 0.0000 0.0000 0.2108
In1 0.0000 0.0000 0.7723
H1 0.0000 0.0000 0.6057
```

---

First-principles (GGA-PBE) data for a relaxed Ti3InH crystal, as listed in Alexandria.

Results
Crystal system: monoclinic
Total DFT energy (no corrections) (eV/atom): -6.108

Structure (CIF):
```
data_Ti3InH
_cell_length_a 9.685
_cell_length_b 12.206
_cell_length_c 5.082
_cell_angle_alpha 90.00
_cell_angle_beta 91.68
_cell_angle_gamma 90.00
_symmetry_space_group_name_H-M 'C 1 2/c 1'
_symmetry_Int_Tables_number 15
loop_
_symmetry_equiv_pos_as_xyz
'x,y,z'
'-x,-y,-z'
'-x,y,-z+1/2'
'x,-y,z+1/2'
'x+1/2,y+1/2,z'
'-x+1/2,-y+1/2,-z'
'-x+1/2,y+1/2,-z+1/2'
'x+1/2,-y+1/2,z+1/2'
loop_
_atom_site_label
_atom_site_fract_x
_atom_site_fract_y
_atom_site_fract_z
Ti1 0.121 0.071 0.065
Ti2 0.122 0.192 0.565
Ti3 0.129 0.304 0.038
In1 0.135 0.434 0.539
H1 0.000 0.057 0.750
H2 0.000 0.195 0.250
```

---

First-principles (GGA-PBE) data for a relaxed TiInH crystal, as listed in Alexandria.

Results
Crystal system: hexagonal
Total DFT energy (no corrections) (eV/atom): -4.970
Polymorph energy (0 for the lowest one) (eV/f.u.): 0.00

Structure (CIF):
```
data_TiInH
_cell_length_a 3.1879
_cell_length_b 3.1879
_cell_length_c 4.7611
_cell_angle_alpha 90.00
_cell_angle_beta 90.00
_cell_angle_gamma 120.00
_symmetry_space_group_name_H-M 'P -6 m 2'
_symmetry_Int_Tables_number 187
_symmetry_space_group_name_Hall 'P -6 2'
loop_
_atom_site_label
_atom_site_fract_x
_atom_site_fract_y
_atom_site_fract_z
Ti1 0.0000 0.0000 0.0000
In1 0.3333 0.6667 0.5000
H1 0.6667 0.3333 0.0000
```